[1]
An optimized crystal structure of BaTaCo. Source: Alexandria via LeMat-Bulk, functional PBE.

Summary:
The calculation puts the calculated formation energy at 2251 meV per atom. For the energy above the lowest structure with this stoichiometry, the calculation gives 1.7868 eV/atom.

a = 4.6231 Å, b = 4.6231 Å, c = 4.6231 Å
α = 60.00°, β = 60.00°, γ = 60.00°
Closest atoms and distances in Å follow each position.
Sites, in units of the cell vectors:
Ba 0.0000 0.0000 0.0000  4 Co 2.83, 4 Ta 2.83
Ta 0.2500 0.2500 0.2500  4 Ba 2.83
Co 0.7500 0.7500 0.7500  4 Ba 2.83

---

[2]
An optimized crystal structure of BaTa2Co. Source: Alexandria via LeMat-Bulk, functional PBE.

Summary:
The calculation puts the calculated formation energy at 1147 meV per atom. For the energy above the lowest structure with this stoichiometry, the calculation gives 0.7055 eV/atom.

a = 6.1156 Å, b = 6.1156 Å, c = 2.9961 Å
α = 100.27°, β = 100.27°, γ = 126.06°
Closest atoms and distances in Å follow each position.
Sites, in units of the cell vectors:
Ba 0.0000 0.0000 0.0000  2 Co 2.77, 2 Ba 3.00
Ta 0.0000 0.5000 0.5000  4 Ta 2.77-3.00
Ta 0.5000 0.0000 0.5000  4 Ta 2.77-3.00
Co 0.5000 0.5000 0.0000  2 Ba 2.77, 2 Co 3.00

---

[3]
An optimized crystal structure of BaTaTi2Co. Source: Alexandria via LeMat-Bulk, functional PBE.

Summary:
The calculation puts the calculated formation energy at 2622 meV per atom.

a = 4.8339 Å, b = 4.8339 Å, c = 5.1150 Å
α = 90.00°, β = 90.00°, γ = 90.00°
Closest atoms and distances in Å follow each position.
Sites, in units of the cell vectors:
Ba 0.0000 0.0000 0.0000  4 Ti 2.42, 2 Ta 2.56
Ta 0.0000 0.0000 0.5000  2 Ba 2.56
Ti 0.0000 0.5000 0.0000  2 Ba 2.42
Ti 0.5000 0.0000 0.0000  2 Ba 2.42
Co 0.5000 0.5000 0.5000  4 Ta 3.42, 8 Ti 3.52

---

[4]
An optimized crystal structure of BaTb3Co. Source: Alexandria via LeMat-Bulk, functional PBE.

Summary:
The calculation puts the calculated formation energy at 19 meV per atom.

a = 5.4606 Å, b = 5.4606 Å, c = 5.4606 Å
α = 90.00°, β = 90.00°, γ = 90.00°
Closest atoms and distances in Å follow each position.
Sites, in units of the cell vectors:
Ba 0.0000 0.0000 0.0000  12 Tb 3.86
Tb 0.0000 0.5000 0.5000  2 Co 2.73
Tb 0.5000 0.0000 0.5000  2 Co 2.73
Tb 0.5000 0.5000 0.0000  2 Co 2.73
Co 0.5000 0.5000 0.5000  6 Tb 2.73

---

[5]
An optimized crystal structure of BaCoTc. Source: Alexandria via LeMat-Bulk, functional PBE.

Summary:
The calculation puts the calculated formation energy at 427 meV per atom. For the energy above the lowest structure with this stoichiometry, the calculation gives 0.1414 eV/atom.

a = 6.5215 Å, b = 6.5215 Å, c = 5.0154 Å
α = 90.00°, β = 90.00°, γ = 141.30°
Closest atoms and distances in Å follow each position.
Sites, in units of the cell vectors:
Ba 0.2046 0.7954 0.7500  3 Co 2.98-3.24
Ba 0.7954 0.2046 0.2500  3 Co 2.98-3.24
Co 0.0377 0.9623 0.2500  4 Tc 2.54, 2 Co 2.67
Co 0.9623 0.0377 0.7500  4 Tc 2.54, 2 Co 2.67
Tc 0.5000 0.5000 0.0000  2 Tc 2.51, 4 Co 2.54
Tc 0.5000 0.5000 0.5000  2 Tc 2.51, 4 Co 2.54

---

[6]
An optimized crystal structure of BaCoTc. Source: Alexandria via LeMat-Bulk, functional PBE.

Summary:
The calculation puts the calculated formation energy at 286 meV per atom. For the energy above the lowest structure with this stoichiometry, the calculation gives 0.0000 eV/atom.

a = 4.2269 Å, b = 4.2269 Å, c = 9.5349 Å
α = 91.40°, β = 91.40°, γ = 83.60°
Closest atoms and distances in Å follow each position.
Sites, in units of the cell vectors:
Ba 0.2457 0.2457 0.2921  4 Co 3.30-3.69, 4 Tc 3.39-3.61
Ba 0.7543 0.7543 0.7079  4 Co 3.30-3.69, 4 Tc 3.39-3.61
Co 0.2823 0.2823 0.8878  4 Tc 2.31-2.46
Co 0.7177 0.7177 0.1122  4 Tc 2.31-2.46
Tc 0.2254 0.7746 0.0000  4 Co 2.31-2.46, 1 Tc 2.54
Tc 0.7746 0.2254 0.0000  4 Co 2.31-2.46, 1 Tc 2.54

---

[7]
An optimized crystal structure of BaCoTc. Source: Alexandria via LeMat-Bulk, functional PBE.

Summary:
The calculation puts the calculated formation energy at 427 meV per atom. For the energy above the lowest structure with this stoichiometry, the calculation gives 0.1409 eV/atom.

a = 4.1143 Å, b = 5.2993 Å, c = 7.8764 Å
α = 88.41°, β = 75.03°, γ = 67.21°
Closest atoms and distances in Å follow each position.
Sites, in units of the cell vectors:
Ba 0.2342 0.2158 0.3187  3 Co 3.02-3.21
Ba 0.7658 0.7842 0.6813  3 Co 3.02-3.21
Co 0.3926 0.3681 0.8449  3 Tc 2.32-2.35
Co 0.6074 0.6319 0.1551  3 Tc 2.32-2.35
Tc 0.1006 0.7612 0.0384  3 Co 2.32-2.35, 1 Tc 2.45
Tc 0.8994 0.2388 0.9616  3 Co 2.32-2.35, 1 Tc 2.45

---

[8]
An optimized crystal structure of Ba2CoTc. Source: Alexandria via LeMat-Bulk, functional PBE.

Summary:
The calculation puts the calculated formation energy at 1259 meV per atom. For the energy above the lowest structure with this stoichiometry, the calculation gives 0.9128 eV/atom.

a = 9.6253 Å, b = 9.6253 Å, c = 9.6253 Å
α = 22.49°, β = 22.49°, γ = 22.49°
Closest atoms and distances in Å follow each position.
Sites, in units of the cell vectors:
Ba 0.2461 0.2461 0.2461  3 Co 3.11, 3 Tc 3.27
Ba 0.7539 0.7539 0.7539  3 Co 3.11, 3 Tc 3.27
Co 0.5000 0.5000 0.5000  6 Ba 3.11
Tc 0.0000 0.0000 0.0000  6 Ba 3.27

---

[9]
An optimized crystal structure of Ba2CoTc. Source: Alexandria via LeMat-Bulk, functional PBE.

Summary:
The calculation puts the calculated formation energy at 607 meV per atom. For the energy above the lowest structure with this stoichiometry, the calculation gives 0.2606 eV/atom.

a = 3.5142 Å, b = 3.5142 Å, c = 9.4832 Å
α = 90.00°, β = 90.00°, γ = 90.00°
Closest atoms and distances in Å follow each position.
Sites, in units of the cell vectors:
Ba 0.0000 0.0000 0.0000  1 Co 3.00
Ba 0.5000 0.5000 0.4297  1 Tc 2.95
Co 0.0000 0.0000 0.6836  4 Tc 2.54
Tc 0.5000 0.5000 0.7407  4 Co 2.54

---

[10]
An optimized crystal structure of Ba2CoTc. Source: Alexandria via LeMat-Bulk, functional PBE.

Summary:
The calculation puts the calculated formation energy at 1244 meV per atom. For the energy above the lowest structure with this stoichiometry, the calculation gives 0.8977 eV/atom.

a = 4.8714 Å, b = 4.8714 Å, c = 7.6369 Å
α = 97.76°, β = 97.76°, γ = 41.48°
Closest atoms and distances in Å follow each position.
Sites, in units of the cell vectors:
Ba 0.2456 0.2456 0.2443  3 Tc 3.18-3.29, 3 Co 3.18-3.20, 2 Ba 3.45
Ba 0.7544 0.7544 0.7557  3 Tc 3.18-3.29, 3 Co 3.18-3.20, 2 Ba 3.45
Co 0.5000 0.5000 0.0000  6 Ba 3.18-3.20, 2 Co 3.45
Tc 0.0000 0.0000 0.5000  6 Ba 3.18-3.29, 2 Tc 3.45

---

[11]
An optimized crystal structure of BaCoTc. Source: Alexandria via LeMat-Bulk, functional PBE.

Summary:
The calculation puts the calculated formation energy at 362 meV per atom. For the energy above the lowest structure with this stoichiometry, the calculation gives 0.0768 eV/atom.

a = 4.6778 Å, b = 4.7258 Å, c = 9.7392 Å
α = 92.72°, β = 92.38°, γ = 118.45°
Closest atoms and distances in Å follow each position.
Sites, in units of the cell vectors:
Ba 0.1802 0.3572 0.2159  2 Co 3.21-3.22, 3 Tc 3.29-3.45
Ba 0.8198 0.6428 0.7841  2 Co 3.21-3.22, 3 Tc 3.29-3.45
Co 0.4704 0.7406 0.5141  2 Co 2.36-2.42, 4 Tc 2.39-2.50
Co 0.5296 0.2594 0.4859  2 Co 2.36-2.42, 4 Tc 2.39-2.50
Tc 0.0126 0.2348 0.5567  1 Tc 2.38, 4 Co 2.39-2.50
Tc 0.9874 0.7652 0.4433  1 Tc 2.38, 4 Co 2.39-2.50

---

[12]
An optimized crystal structure of BaCoTc. Source: Alexandria via LeMat-Bulk, functional PBE.

Summary:
The calculation puts the calculated formation energy at 533 meV per atom. For the energy above the lowest structure with this stoichiometry, the calculation gives 0.2470 eV/atom.

a = 7.6857 Å, b = 4.1029 Å, c = 9.5850 Å
α = 90.00°, β = 90.00°, γ = 90.00°
Closest atoms and distances in Å follow each position.
Sites, in units of the cell vectors:
Ba 0.0007 0.2500 0.1929  6 Co 3.41-3.71, 6 Tc 3.42-3.76
Ba 0.4993 0.7500 0.6929  6 Co 3.41-3.71, 6 Tc 3.42-3.76
Ba 0.5007 0.2500 0.3071  6 Co 3.41-3.71, 6 Tc 3.42-3.76
Ba 0.9993 0.7500 0.8071  6 Co 3.41-3.71, 6 Tc 3.42-3.76
Co 0.1654 0.2500 0.5562  3 Tc 2.27-2.32
Co 0.3346 0.7500 0.0562  3 Tc 2.27-2.32
Co 0.6654 0.2500 0.9438  3 Tc 2.27-2.32
Co 0.8346 0.7500 0.4438  3 Tc 2.27-2.32
Tc 0.1359 0.7500 0.4569  3 Co 2.27-2.32
Tc 0.3641 0.2500 0.9569  3 Co 2.27-2.32
Tc 0.6359 0.7500 0.0431  3 Co 2.27-2.32
Tc 0.8641 0.2500 0.5431  3 Co 2.27-2.32

---

[13]
An optimized crystal structure of BaCoTc. Source: Alexandria via LeMat-Bulk, functional PBE.

Summary:
The calculation puts the calculated formation energy at 588 meV per atom. For the energy above the lowest structure with this stoichiometry, the calculation gives 0.3028 eV/atom.

a = 5.7219 Å, b = 5.7219 Å, c = 5.1891 Å
α = 115.41°, β = 115.41°, γ = 63.38°
Closest atoms and distances in Å follow each position.
Sites, in units of the cell vectors:
Ba 0.0000 0.0000 0.0000  4 Co 3.10-3.23, 3 Tc 3.30-3.46, 2 Ba 3.36-3.42
Ba 0.7409 0.7409 0.2469  4 Co 3.15-3.18, 3 Tc 3.32-3.41, 2 Ba 3.36-3.42
Co 0.3703 0.8770 0.6326  2 Tc 2.35-2.37
Co 0.8770 0.3703 0.6326  2 Tc 2.35-2.37
Tc 0.3225 0.3225 0.6685  2 Co 2.37, 1 Tc 2.43
Tc 0.4231 0.4231 0.3256  2 Co 2.35, 1 Tc 2.43

---

[14]
An optimized crystal structure of BaCoTc. Source: Alexandria via LeMat-Bulk, functional PBE.

Summary:
The calculation puts the calculated formation energy at 359 meV per atom. For the energy above the lowest structure with this stoichiometry, the calculation gives 0.0730 eV/atom.

a = 4.2976 Å, b = 4.1850 Å, c = 9.0935 Å
α = 90.00°, β = 92.53°, γ = 90.00°
Closest atoms and distances in Å follow each position.
Sites, in units of the cell vectors:
Ba 0.0000 0.0000 0.0000  5 Co 3.24-3.57, 2 Tc 3.39
Ba 0.4826 0.5000 0.6039  5 Tc 3.30-3.59, 2 Co 3.48
Co 0.4441 0.0000 0.2976  1 Tc 2.25, 2 Co 2.40
Co 0.5673 0.5000 0.1840  2 Tc 2.29-2.44, 2 Co 2.40
Tc 0.0581 0.5000 0.2926  2 Co 2.29-2.44, 2 Tc 2.44
Tc 0.9195 0.0000 0.4116  1 Co 2.25, 2 Tc 2.44